The following is a PBE calculation of a relaxed LaCeB12 crystal, from Alexandria via LeMat-Bulk. Values from VASP.

Values from the calculation:
Total energy   -98.5 eV per cell
M_tot   0.79 μB/cell
Symmetry   P4/mmm, No. 123
DOS at the Fermi energy   0.41 states/eV per atom
DFT formation energy   -7.6 eV/f.u.

Quantum ESPRESSO input file:
```
&SYSTEM
  ibrav = 0, nat = 14, ntyp = 3
/
ATOMIC_SPECIES
La 138.91 La.upf
Ce 140.12 Ce.upf
B 10.81 B.upf
ATOMIC_POSITIONS crystal
La 0.0000 0.0000 0.5000
Ce 0.0000 0.0000 0.0000
B 0.1991 0.5000 0.2488
B 0.1991 0.5000 0.7512
B 0.5000 0.5000 0.3998
B 0.5000 0.5000 0.9010
B 0.5000 0.1991 0.2488
B 0.5000 0.1991 0.7512
B 0.5000 0.5000 0.0990
B 0.5000 0.5000 0.6002
B 0.5000 0.8009 0.2488
B 0.5000 0.8009 0.7512
B 0.8009 0.5000 0.2488
B 0.8009 0.5000 0.7512
CELL_PARAMETERS angstrom
-0.2188 3.6567 1.9193
-3.1084 1.1196 -2.4875
-5.4407 -3.1500 5.3811
```

***

The following is a PBE calculation of a relaxed Tb6SiS4 crystal, from Alexandria via LeMat-Bulk. Values from VASP.

Values from the calculation:
E_form (uncorrected)   -1.62 eV/atom
Total energy   -135.1 eV per cell
M_tot   0.00 μB/cell
Symmetry   Cmcm, No. 63
DOS at the Fermi energy   0.68 states/eV per atom

Quantum ESPRESSO input file:
```
&SYSTEM
  ibrav = 0, nat = 22, ntyp = 3
/
ATOMIC_SPECIES
Tb 158.93 Tb.upf
Si 28.09 Si.upf
S 32.06 S.upf
ATOMIC_POSITIONS crystal
Tb 0.5000 0.0000 0.0000
Tb 0.5000 0.0000 0.5000
Tb 0.0511 0.1023 0.3347
Tb 0.9489 0.8977 0.6653
Tb 0.9489 0.8977 0.8347
Tb 0.0511 0.1023 0.1653
Tb 0.7732 0.5464 0.4137
Tb 0.2268 0.4536 0.5863
Tb 0.2268 0.4536 0.9137
Tb 0.7732 0.5464 0.0863
Tb 0.3281 0.6563 0.2500
Tb 0.6719 0.3437 0.7500
Si 0.6659 0.3318 0.2500
Si 0.3341 0.6682 0.7500
S 0.8618 0.7235 0.5399
S 0.4108 0.8215 0.1248
S 0.1382 0.2765 0.4601
S 0.5892 0.1785 0.8752
S 0.8618 0.7235 0.9601
S 0.1382 0.2765 0.0399
S 0.5892 0.1785 0.6248
S 0.4108 0.8215 0.3752
CELL_PARAMETERS angstrom
-1.1272 0.8926 -3.6934
-4.5443 -4.2773 2.4797
-10.6246 15.3132 6.9436
```

***

The following is a PBE calculation of a relaxed Y2HfTc crystal, from Alexandria via LeMat-Bulk. Values from VASP.

Values from the calculation:
Total energy   -31.8 eV per cell
M_tot   0.67 μB/cell
Symmetry   Fm-3m, No. 225
DOS at the Fermi energy   1.80 states/eV per atom
Polymorph energy (0 for the lowest one)   0.000 eV/atom
DFT formation energy   1.5 eV/f.u.

Quantum ESPRESSO input file:
```
&SYSTEM
  ibrav = 0, nat = 4, ntyp = 3
/
ATOMIC_SPECIES
Y 88.91 Y.upf
Hf 178.49 Hf.upf
Tc 98.00 Tc.upf
ATOMIC_POSITIONS crystal
Y 0.2500 0.2500 0.2500
Y 0.7500 0.7500 0.7500
Hf 0.5000 0.5000 0.5000
Tc 0.0000 0.0000 0.0000
CELL_PARAMETERS angstrom
-0.4141 -3.8073 3.3294
-0.4404 0.9996 4.9557
-4.4086 -0.8271 2.3733
```

***

The following is a PBE calculation of a relaxed Dy3YSc crystal, from Alexandria via LeMat-Bulk. Values from VASP.

Values from the calculation:
Total energy   -26.4 eV per cell
M_tot   0.00 μB/cell
Symmetry   R3m, No. 160
DOS at the Fermi energy   1.42 states/eV per atom
DFT formation energy   0.2 eV/f.u.

Quantum ESPRESSO input file:
```
&SYSTEM
  ibrav = 0, nat = 5, ntyp = 3
/
ATOMIC_SPECIES
Dy 162.50 Dy.upf
Y 88.91 Y.upf
Sc 44.96 Sc.upf
ATOMIC_POSITIONS crystal
Dy 0.2371 0.2371 0.2888
Dy 0.0309 0.0309 0.9072
Dy 0.4328 0.4328 0.7016
Y 0.8346 0.8346 0.4962
Sc 0.6340 0.6340 0.0981
CELL_PARAMETERS angstrom
-1.7642 3.0248 0.0403
-1.5397 1.0898 2.9504
10.7351 8.2265 4.6416
```

***

The following is a PBE calculation of a relaxed Li2CdSb2 crystal, from Alexandria via LeMat-Bulk. Values from VASP.

Values from the calculation:
E_form (uncorrected)   -0.33 eV/atom
Total energy   -58.6 eV per cell
M_tot   0.00 μB/cell
Symmetry   P2_1/c, No. 14
DOS at the Fermi energy   0.12 states/eV per atom
Polymorph energy (0 for the lowest one)   0.000 eV/atom

Quantum ESPRESSO input file:
```
&SYSTEM
  ibrav = 0, nat = 20, ntyp = 3
/
ATOMIC_SPECIES
Li 6.94 Li.upf
Cd 112.41 Cd.upf
Sb 121.76 Sb.upf
ATOMIC_POSITIONS crystal
Li 0.5425 0.3115 0.0567
Li 0.0425 0.1885 0.0567
Li 0.9575 0.8115 0.9433
Li 0.4575 0.6885 0.9433
Li 0.0126 0.6934 0.2675
Li 0.5126 0.8066 0.2675
Li 0.4874 0.1934 0.7325
Li 0.9874 0.3066 0.7325
Cd 0.3138 0.3807 0.3832
Cd 0.6862 0.6193 0.6168
Cd 0.8138 0.1193 0.3832
Cd 0.1862 0.8807 0.6168
Sb 0.7321 0.9687 0.1021
Sb 0.2321 0.5313 0.1021
Sb 0.7679 0.4687 0.8979
Sb 0.2679 0.0313 0.8979
Sb 0.7736 0.4720 0.3792
Sb 0.2736 0.0280 0.3792
Sb 0.7264 0.9720 0.6208
Sb 0.2264 0.5280 0.6208
CELL_PARAMETERS angstrom
-4.3532 -1.6095 -4.7994
-1.0686 -7.2851 3.4123
-4.0372 4.3059 7.9284
```

***

The following is a PBE calculation of a relaxed GaTe2Se crystal, from Alexandria via LeMat-Bulk. Values from VASP.

Values from the calculation:
E_form (uncorrected)   0.06 eV/atom
Total energy   -12.5 eV per cell
M_tot   0.00 μB/cell
Symmetry   R-3m, No. 166
DOS at the Fermi energy   0.48 states/eV per atom

Quantum ESPRESSO input file:
```
&SYSTEM
  ibrav = 0, nat = 4, ntyp = 3
/
ATOMIC_SPECIES
Te 127.60 Te.upf
Ga 69.72 Ga.upf
Se 78.96 Se.upf
ATOMIC_POSITIONS crystal
Te 0.8959 0.8959 0.8959
Te 0.1041 0.1041 0.1041
Ga 0.5000 0.5000 0.5000
Se 0.0000 0.0000 0.0000
CELL_PARAMETERS angstrom
4.0381 -4.5610 6.4728
7.1525 -3.2363 4.1684
5.4738 -0.7578 6.9620
```

***

The following is a PBE calculation of a relaxed DyGa4Pt4 crystal, from Alexandria via LeMat-Bulk. Values from VASP.

Values from the calculation:
Total energy   -94.2 eV per cell
M_tot   0.00 μB/cell
Symmetry   P4_2/nmc, No. 137
DOS at the Fermi energy   0.54 states/eV per atom
DFT formation energy   -6.2 eV/f.u.

Quantum ESPRESSO input file:
```
&SYSTEM
  ibrav = 0, nat = 18, ntyp = 3
/
ATOMIC_SPECIES
Dy 162.50 Dy.upf
Ga 69.72 Ga.upf
Pt 195.08 Pt.upf
ATOMIC_POSITIONS crystal
Dy 0.0000 0.0000 0.0000
Dy 0.5000 0.5000 0.5000
Ga 0.2177 0.5000 0.9146
Ga 0.7823 0.5000 0.9146
Ga 0.5000 0.7823 0.0854
Ga 0.5000 0.2177 0.0854
Ga 0.0000 0.7177 0.4146
Ga 0.0000 0.2823 0.4146
Ga 0.2823 0.0000 0.5854
Ga 0.7177 0.0000 0.5854
Pt 0.5000 0.7641 0.7931
Pt 0.5000 0.2359 0.7931
Pt 0.7641 0.5000 0.2069
Pt 0.2359 0.5000 0.2069
Pt 0.2641 0.0000 0.2931
Pt 0.7359 0.0000 0.2931
Pt 0.0000 0.2641 0.7069
Pt 0.0000 0.7359 0.7069
CELL_PARAMETERS angstrom
-1.5436 -0.9612 -5.6694
-3.3860 -4.5926 1.7005
-6.9343 5.4683 0.9609
```

***

The following is a PBE calculation of a relaxed Al4CdS7 crystal, from Alexandria via LeMat-Bulk. Values from VASP.

Values from the calculation:
E_form (uncorrected)   -0.96 eV/atom
Total energy   -112.6 eV per cell
M_tot   0.00 μB/cell
Symmetry   Pmn2_1, No. 31
DOS at the Fermi energy   0.00 states/eV per atom

Quantum ESPRESSO input file:
```
&SYSTEM
  ibrav = 0, nat = 24, ntyp = 3
/
ATOMIC_SPECIES
Al 26.98 Al.upf
Cd 112.41 Cd.upf
S 32.06 S.upf
ATOMIC_POSITIONS crystal
Al 0.5709 0.6727 0.8749
Al 0.0394 0.8283 0.2438
Al 0.5394 0.1717 0.2562
Al 0.0709 0.3273 0.6251
Al 0.0709 0.3273 0.3749
Al 0.5709 0.6727 0.1251
Al 0.0394 0.8283 0.7562
Al 0.5394 0.1717 0.7438
Cd 0.9806 0.8433 0.5000
Cd 0.4806 0.1567 0.0000
S 0.9255 0.7025 0.1206
S 0.4255 0.2975 0.3794
S 0.4301 0.3492 0.8631
S 0.9301 0.6508 0.6369
S 0.9301 0.6508 0.3631
S 0.4301 0.3492 0.1369
S 0.4162 0.8414 0.7592
S 0.9162 0.1586 0.7408
S 0.9162 0.1586 0.2592
S 0.4162 0.8414 0.2408
S 0.4100 0.7843 0.0000
S 0.9100 0.2157 0.5000
S 0.9255 0.7025 0.8794
S 0.4255 0.2975 0.6206
CELL_PARAMETERS angstrom
-3.9498 -4.5873 1.2021
4.8837 -4.3281 -0.4697
2.8224 1.5405 15.1522
```

***

The following is a PBE calculation of a relaxed CsK2NaS crystal, from Alexandria via LeMat-Bulk. Values from VASP.

Values from the calculation:
E_form (uncorrected)   -0.55 eV/atom
Total energy   -11.2 eV per cell
M_tot   0.00 μB/cell
Symmetry   P4/mmm, No. 123
DOS at the Fermi energy   0.14 states/eV per atom
Polymorph energy (0 for the lowest one)   0.000 eV/atom

Quantum ESPRESSO input file:
```
&SYSTEM
  ibrav = 0, nat = 5, ntyp = 4
/
ATOMIC_SPECIES
Cs 132.91 Cs.upf
Na 22.99 Na.upf
K 39.10 K.upf
S 32.06 S.upf
ATOMIC_POSITIONS crystal
Cs 0.0000 0.0000 0.5000
Na 0.5000 0.5000 0.5000
K 0.0000 0.5000 0.0000
K 0.5000 0.0000 0.0000
S 0.0000 0.0000 0.0000
CELL_PARAMETERS angstrom
6.2328 0.0000 0.0000
0.0000 6.2328 0.0000
0.0000 0.0000 6.8862
```

***

The following is a PBE calculation of a relaxed BaTl2Au2 crystal, from Alexandria via LeMat-Bulk. Values from VASP.

Values from the calculation:
Total energy   -15.0 eV per cell
M_tot   0.00 μB/cell
Symmetry   I4/mmm, No. 139
DOS at the Fermi energy   0.46 states/eV per atom
Polymorph energy (0 for the lowest one)   0.047 eV/atom
DFT formation energy   -1.8 eV/f.u.

Quantum ESPRESSO input file:
```
&SYSTEM
  ibrav = 0, nat = 5, ntyp = 3
/
ATOMIC_SPECIES
Tl 204.38 Tl.upf
Au 196.97 Au.upf
Ba 137.33 Ba.upf
ATOMIC_POSITIONS crystal
Tl 0.3541 0.3541 0.2918
Tl 0.6459 0.6459 0.7082
Au 0.7500 0.2500 0.5000
Au 0.2500 0.7500 0.5000
Ba 0.0000 0.0000 0.0000
CELL_PARAMETERS angstrom
-4.9720 -1.6347 -1.3333
0.0370 -3.4806 4.1297
-4.4732 1.0488 4.4558
```

***

The following is a PBE calculation of a relaxed CaTiCl6 crystal, from Alexandria via LeMat-Bulk. Values from VASP.

Values from the calculation:
E_form (uncorrected)   -1.81 eV/atom
Total energy   -35.5 eV per cell
M_tot   0.00 μB/cell
Symmetry   C2/m, No. 12
DOS at the Fermi energy   0.00 states/eV per atom

Quantum ESPRESSO input file:
```
&SYSTEM
  ibrav = 0, nat = 8, ntyp = 3
/
ATOMIC_SPECIES
Ca 40.08 Ca.upf
Ti 47.87 Ti.upf
Cl 35.45 Cl.upf
ATOMIC_POSITIONS crystal
Ca 0.0000 0.0000 0.0000
Ti 0.5000 0.5000 0.5000
Cl 0.2669 0.2669 0.7251
Cl 0.4220 0.1486 0.2795
Cl 0.7331 0.7331 0.2749
Cl 0.8514 0.5780 0.7205
Cl 0.5780 0.8514 0.7205
Cl 0.1486 0.4220 0.2795
CELL_PARAMETERS angstrom
6.8966 -0.7994 -0.1697
-3.3077 6.1041 -0.1697
-0.8240 -1.2180 6.2064
```

***

The following is a PBE calculation of a relaxed AgRuN2 crystal, from Alexandria via LeMat-Bulk. Values from VASP.

Values from the calculation:
E_form (uncorrected)   0.73 eV/atom
Total energy   -25.9 eV per cell
M_tot   0.70 μB/cell
Symmetry   R-3m, No. 166
DOS at the Fermi energy   0.64 states/eV per atom
Polymorph energy (0 for the lowest one)   0.107 eV/atom

Quantum ESPRESSO input file:
```
&SYSTEM
  ibrav = 0, nat = 4, ntyp = 3
/
ATOMIC_SPECIES
Ru 101.07 Ru.upf
Ag 107.87 Ag.upf
N 14.01 N.upf
ATOMIC_POSITIONS crystal
Ru 0.5000 0.5000 0.5000
Ag 0.0000 0.0000 0.0000
N 0.8917 0.8917 0.8917
N 0.1083 0.1083 0.1083
CELL_PARAMETERS angstrom
1.7104 0.0000 6.5282
-0.8552 1.4813 6.5282
-0.8552 -1.4813 6.5282
```